[1]
Below is NbPPb3 after structural relaxation, with properties calculated at the PBE level.

Summary:
**Energy above the most stable polymorph in this dataset**: 0 meV per atom
**Energy relative to the elements**: 428 kJ/mol of formula units
**Uncorrected energy**: -4.434 eV/atom

Cell and atoms, written as CIF:
```
data_NbPPb3
_chemical_formula_sum 'Nb1 P1 Pb3'
_symmetry_space_group_name_H-M 'P m -3 m'
_symmetry_Int_Tables_number 221
_symmetry_space_group_name_Hall '-P 4 2 3'
_cell_length_a 5.517
_cell_length_b 5.517
_cell_length_c 5.517
_cell_angle_alpha 90.00
_cell_angle_beta 90.00
_cell_angle_gamma 90.00
loop_
_atom_site_label
_atom_site_fract_x
_atom_site_fract_y
_atom_site_fract_z
_atom_site_occupancy
Nb1 0.000 0.000 0.000 1
P1 0.500 0.500 0.500 1
Pb1 0.000 0.000 0.500 1
```

[2]
Below is NbP2Pb2 after structural relaxation, with properties calculated at the PBE level.

Summary:
**Energy above the most stable polymorph in this dataset**: 0 meV per atom
**Energy relative to the elements**: 200 kJ/mol of formula units
**Uncorrected energy**: -5.246 eV/atom

Cell and atoms, written as CIF:
```
data_NbP2Pb2
_chemical_formula_sum 'Nb2 P4 Pb4'
_symmetry_space_group_name_H-M 'I 4/m m m'
_symmetry_Int_Tables_number 139
_symmetry_space_group_name_Hall '-I 4 2'
_cell_length_a 3.153
_cell_length_b 3.153
_cell_length_c 24.863
_cell_angle_alpha 90.00
_cell_angle_beta 90.00
_cell_angle_gamma 90.00
loop_
_atom_site_label
_atom_site_fract_x
_atom_site_fract_y
_atom_site_fract_z
_atom_site_occupancy
Nb1 0.000 0.000 0.000 1
P1 0.000 0.500 0.250 1
Pb1 0.000 0.000 0.405 1
```

[3]
Below is NbP2Pb2 after structural relaxation, with properties calculated at the PBE level.

Summary:
**Energy above the most stable polymorph in this dataset**: 309 meV per atom
**Energy relative to the elements**: 350 kJ/mol of formula units
**Uncorrected energy**: -4.936 eV/atom

Cell and atoms, written as CIF:
```
data_NbP2Pb2
_chemical_formula_sum 'Nb2 P4 Pb4'
_symmetry_space_group_name_H-M 'P 4/m b m'
_symmetry_Int_Tables_number 127
_symmetry_space_group_name_Hall '-P 4 2ab'
_cell_length_a 7.706
_cell_length_b 7.706
_cell_length_c 3.790
_cell_angle_alpha 90.00
_cell_angle_beta 90.00
_cell_angle_gamma 90.00
loop_
_atom_site_label
_atom_site_fract_x
_atom_site_fract_y
_atom_site_fract_z
_atom_site_occupancy
Nb1 0.000 0.000 0.000 1
P1 0.182 0.318 0.500 1
Pb1 0.140 0.640 0.000 1
```

[4]
Below is NbPPb3 after structural relaxation, with properties calculated at the PBE level.

Summary:
**Energy above the most stable polymorph in this dataset**: 280 meV per atom
**Energy relative to the elements**: 563 kJ/mol of formula units
**Uncorrected energy**: -4.154 eV/atom

Cell and atoms, written as CIF:
```
data_NbPPb3
_chemical_formula_sum 'Nb1 P1 Pb3'
_symmetry_space_group_name_H-M 'P m -3 m'
_symmetry_Int_Tables_number 221
_symmetry_space_group_name_Hall '-P 4 2 3'
_cell_length_a 5.282
_cell_length_b 5.282
_cell_length_c 5.282
_cell_angle_alpha 90.00
_cell_angle_beta 90.00
_cell_angle_gamma 90.00
loop_
_atom_site_label
_atom_site_fract_x
_atom_site_fract_y
_atom_site_fract_z
_atom_site_occupancy
Nb1 0.000 0.000 0.000 1
P1 0.500 0.500 0.500 1
Pb1 0.000 0.500 0.500 1
```

[5]
Below is Nb2PPb after structural relaxation, with properties calculated at the PBE level.

Summary:
**Energy above the most stable polymorph in this dataset**: 0 meV per atom
**Energy relative to the elements**: 61 kJ/mol of formula units
**Uncorrected energy**: -7.155 eV/atom

Cell and atoms, written as CIF:
```
data_Nb2PPb
_chemical_formula_sum 'Nb8 P4 Pb4'
_symmetry_space_group_name_H-M 'F m -3 m'
_symmetry_Int_Tables_number 225
_symmetry_space_group_name_Hall '-F 4 2 3'
_cell_length_a 6.638
_cell_length_b 6.638
_cell_length_c 6.638
_cell_angle_alpha 90.00
_cell_angle_beta 90.00
_cell_angle_gamma 90.00
loop_
_atom_site_label
_atom_site_fract_x
_atom_site_fract_y
_atom_site_fract_z
_atom_site_occupancy
Nb1 0.250 0.250 0.250 1
P1 0.000 0.000 0.000 1
Pb1 0.000 0.000 0.500 1
```

[6]
Below is NbP2PbS after structural relaxation, with properties calculated at the PBE level.

Summary:
**Energy above the most stable polymorph in this dataset**: 1598 meV per atom
**Uncorrected energy**: -4.161 eV/atom
**Energy relative to the elements, uncorrected**: 1584 meV per atom

Cell and atoms, written as CIF:
```
data_NbP2PbS
_chemical_formula_sum 'Nb1 P2 Pb1 S1'
_symmetry_space_group_name_H-M 'P 4/m m m'
_symmetry_Int_Tables_number 123
_symmetry_space_group_name_Hall '-P 4 2'
_cell_length_a 5.010
_cell_length_b 5.010
_cell_length_c 5.028
_cell_angle_alpha 90.00
_cell_angle_beta 90.00
_cell_angle_gamma 90.00
loop_
_atom_site_label
_atom_site_fract_x
_atom_site_fract_y
_atom_site_fract_z
_atom_site_occupancy
Nb1 0.000 0.000 0.000 1
P1 0.000 0.500 0.500 1
Pb1 0.500 0.500 0.500 1
S1 0.500 0.500 0.000 1
```

[7]
Below is NbPPbS2 after structural relaxation, with properties calculated at the PBE level.

Summary:
**Energy above the most stable polymorph in this dataset**: 0 meV per atom
**Uncorrected energy**: -5.748 eV/atom
**Energy relative to the elements, uncorrected**: -260 meV per atom

Cell and atoms, written as CIF:
```
data_NbPPbS2
_chemical_formula_sum 'Nb1 P1 Pb1 S2'
_symmetry_space_group_name_H-M 'P 4/m m m'
_symmetry_Int_Tables_number 123
_symmetry_space_group_name_Hall '-P 4 2'
_cell_length_a 4.802
_cell_length_b 4.802
_cell_length_c 5.016
_cell_angle_alpha 90.00
_cell_angle_beta 90.00
_cell_angle_gamma 90.00
loop_
_atom_site_label
_atom_site_fract_x
_atom_site_fract_y
_atom_site_fract_z
_atom_site_occupancy
Nb1 0.000 0.000 0.000 1
P1 0.000 0.000 0.500 1
Pb1 0.500 0.500 0.500 1
S1 0.000 0.500 0.000 1
```

[8]
Below is NbPPbS2 after structural relaxation, with properties calculated at the PBE level.

Summary:
**Energy above the most stable polymorph in this dataset**: 1484 meV per atom
**Uncorrected energy**: -4.265 eV/atom
**Energy relative to the elements, uncorrected**: 1224 meV per atom

Cell and atoms, written as CIF:
```
data_NbPPbS2
_chemical_formula_sum 'Nb1 P1 Pb1 S2'
_symmetry_space_group_name_H-M 'P 4/m m m'
_symmetry_Int_Tables_number 123
_symmetry_space_group_name_Hall '-P 4 2'
_cell_length_a 5.078
_cell_length_b 5.078
_cell_length_c 5.064
_cell_angle_alpha 90.00
_cell_angle_beta 90.00
_cell_angle_gamma 90.00
loop_
_atom_site_label
_atom_site_fract_x
_atom_site_fract_y
_atom_site_fract_z
_atom_site_occupancy
Nb1 0.000 0.000 0.000 1
P1 0.500 0.500 0.000 1
Pb1 0.500 0.500 0.500 1
S1 0.000 0.500 0.500 1
```

[9]
Below is NbP2PbS after structural relaxation, with properties calculated at the PBE level.

Summary:
**Energy above the most stable polymorph in this dataset**: 0 meV per atom
**Uncorrected energy**: -5.758 eV/atom
**Energy relative to the elements, uncorrected**: -13 meV per atom

Cell and atoms, written as CIF:
```
data_NbP2PbS
_chemical_formula_sum 'Nb1 P2 Pb1 S1'
_symmetry_space_group_name_H-M 'P 4/m m m'
_symmetry_Int_Tables_number 123
_symmetry_space_group_name_Hall '-P 4 2'
_cell_length_a 4.916
_cell_length_b 4.916
_cell_length_c 4.799
_cell_angle_alpha 90.00
_cell_angle_beta 90.00
_cell_angle_gamma 90.00
loop_
_atom_site_label
_atom_site_fract_x
_atom_site_fract_y
_atom_site_fract_z
_atom_site_occupancy
Nb1 0.000 0.000 0.000 1
P1 0.000 0.500 0.000 1
Pb1 0.500 0.500 0.500 1
S1 0.000 0.000 0.500 1
```

[10]
Below is NbSiPPb2 after structural relaxation, with properties calculated at the PBE level.

Summary:
**Uncorrected energy**: -4.577 eV/atom
**Energy relative to the elements, uncorrected**: 1086 meV per atom

Cell and atoms, written as CIF:
```
data_NbSiPPb2
_chemical_formula_sum 'Nb1 Si1 P1 Pb2'
_symmetry_space_group_name_H-M 'P 4/m m m'
_symmetry_Int_Tables_number 123
_symmetry_space_group_name_Hall '-P 4 2'
_cell_length_a 5.435
_cell_length_b 5.435
_cell_length_c 4.366
_cell_angle_alpha 90.00
_cell_angle_beta 90.00
_cell_angle_gamma 90.00
loop_
_atom_site_label
_atom_site_fract_x
_atom_site_fract_y
_atom_site_fract_z
_atom_site_occupancy
Nb1 0.000 0.000 0.000 1
Si1 0.500 0.500 0.500 1
P1 0.500 0.500 0.000 1
Pb1 0.000 0.500 0.500 1
```

[11]
Below is TiNbP2Pb after structural relaxation, with properties calculated at the PBE level.

Summary:
**Energy relative to the elements**: 899 kJ/mol of formula units
**Uncorrected energy**: -4.635 eV/atom

Cell and atoms, written as CIF:
```
data_TiNbP2Pb
_chemical_formula_sum 'Ti1 Nb1 P2 Pb1'
_symmetry_space_group_name_H-M 'P 4/m m m'
_symmetry_Int_Tables_number 123
_symmetry_space_group_name_Hall '-P 4 2'
_cell_length_a 5.059
_cell_length_b 5.059
_cell_length_c 5.267
_cell_angle_alpha 90.00
_cell_angle_beta 90.00
_cell_angle_gamma 90.00
loop_
_atom_site_label
_atom_site_fract_x
_atom_site_fract_y
_atom_site_fract_z
_atom_site_occupancy
Ti1 0.000 0.000 0.000 1
Nb1 0.500 0.500 0.000 1
P1 0.000 0.500 0.500 1
Pb1 0.500 0.500 0.500 1
```

[12]
Below is YNbPPb2 after structural relaxation, with properties calculated at the PBE level.

Summary:
**Energy relative to the elements**: 115 kJ/mol of formula units
**Uncorrected energy**: -5.634 eV/atom

Cell and atoms, written as CIF:
```
data_YNbPPb2
_chemical_formula_sum 'Y1 Nb1 P1 Pb2'
_symmetry_space_group_name_H-M 'P 4/m m m'
_symmetry_Int_Tables_number 123
_symmetry_space_group_name_Hall '-P 4 2'
_cell_length_a 5.530
_cell_length_b 5.530
_cell_length_c 4.723
_cell_angle_alpha 90.00
_cell_angle_beta 90.00
_cell_angle_gamma 90.00
loop_
_atom_site_label
_atom_site_fract_x
_atom_site_fract_y
_atom_site_fract_z
_atom_site_occupancy
Y1 0.000 0.000 0.000 1
Nb1 0.500 0.500 0.500 1
P1 0.500 0.500 0.000 1
Pb1 0.000 0.500 0.500 1
```